# 1
Material: Ca2CeTm
Method: DFT, PBE
State: relaxed

Energy of formation: 0.3258 eV/atom
Magnetization: 0.447 μB per atom

```
data_Ca2CeTm
_chemical_formula_sum 'Ca2 Ce1 Tm1'
_cell_length_a 3.5247
_cell_length_b 3.5247
_cell_length_c 13.1906
_cell_angle_alpha 82.32
_cell_angle_beta 82.32
_cell_angle_gamma 60.00
_symmetry_space_group_name_H-M 'P 1'
_symmetry_Int_Tables_number 1
_symmetry_space_group_name_Hall 'P 1'
loop_
_atom_site_label
_atom_site_fract_x
_atom_site_fract_y
_atom_site_fract_z
Ce1 0.5000 0.5000 0.5000
Ca1 0.0865 0.0865 0.7406
Ca2 0.9135 0.9135 0.2594
Tm1 0.0000 0.0000 0.0000
```

---

# 2
Material: CaCe4Y
Method: DFT, PBE
State: relaxed

Energy of formation: 0.2471 eV/atom
Magnetization: 0.816 μB per atom

```
data_CaCe4Y
_chemical_formula_sum 'Ca1 Ce4 Y1'
_cell_length_a 6.4590
_cell_length_b 6.4590
_cell_length_c 6.4590
_cell_angle_alpha 60.00
_cell_angle_beta 60.00
_cell_angle_gamma 60.00
_symmetry_space_group_name_H-M 'P 1'
_symmetry_Int_Tables_number 1
_symmetry_space_group_name_Hall 'P 1'
loop_
_atom_site_label
_atom_site_fract_x
_atom_site_fract_y
_atom_site_fract_z
Ce1 0.6324 0.6324 0.1027
Ce2 0.1027 0.6324 0.6324
Ce3 0.6324 0.6324 0.6324
Ce4 0.6324 0.1027 0.6324
Y1 0.0000 0.0000 0.0000
Ca1 0.2500 0.2500 0.2500
```

---

# 3
Material: CaCeY2
Method: DFT, PBE
State: relaxed

Energy of formation: 0.2303 eV/atom
Magnetization: 0.492 μB per atom

```
data_CaCeY2
_chemical_formula_sum 'Ca1 Ce1 Y2'
_cell_length_a 5.7806
_cell_length_b 5.7806
_cell_length_c 5.7806
_cell_angle_alpha 60.00
_cell_angle_beta 60.00
_cell_angle_gamma 60.00
_symmetry_space_group_name_H-M 'P 1'
_symmetry_Int_Tables_number 1
_symmetry_space_group_name_Hall 'P 1'
loop_
_atom_site_label
_atom_site_fract_x
_atom_site_fract_y
_atom_site_fract_z
Y1 0.2500 0.2500 0.2500
Y2 0.7500 0.7500 0.7500
Ca1 0.5000 0.5000 0.5000
Ce1 0.0000 0.0000 0.0000
```

---

# 4
Material: CaCeY2
Method: DFT, PBE
State: relaxed

Energy of formation: 0.1982 eV/atom
Magnetization: 0.446 μB per atom

```
data_CaCeY2
_chemical_formula_sum 'Ca1 Ce1 Y2'
_cell_length_a 5.0733
_cell_length_b 5.1639
_cell_length_c 5.1639
_cell_angle_alpha 90.00
_cell_angle_beta 90.00
_cell_angle_gamma 90.00
_symmetry_space_group_name_H-M 'P 1'
_symmetry_Int_Tables_number 1
_symmetry_space_group_name_Hall 'P 1'
loop_
_atom_site_label
_atom_site_fract_x
_atom_site_fract_y
_atom_site_fract_z
Y1 0.0000 0.0000 0.5000
Y2 0.0000 0.5000 0.0000
Ce1 0.5000 0.0000 0.0000
Ca1 0.5000 0.5000 0.5000
```